1.
# Sm7Dy12Ho

A relaxed structure of Sm7Dy12Ho (PBE-GGA, the Alexandria database).

Values from the calculation:
DOS at the Fermi energy (states/eV/atom): 1.280
Offset from the most stable computed form (meV per atom): 425.4
E (eV per atom): -3.9801
Magnetic moment (μB per atom): 0.000

```
data_Sm7Dy12Ho
_chemical_formula_sum 'Sm14 Dy24 Ho2'
_space_group_name_H-M_alt 'I m -3 m'
_space_group_IT_number 229
_space_group_name_Hall '-I 4 2 3'
_cell_length_a 11.281
_cell_length_b 11.281
_cell_length_c 11.281
_cell_angle_alpha 90.00
_cell_angle_beta 90.00
_cell_angle_gamma 90.00
loop_
_atom_site_label
_atom_site_type_symbol
_atom_site_fract_x
_atom_site_fract_y
_atom_site_fract_z
_atom_site_occupancy
Sm1 Sm 0.000 0.000 0.500 1
Sm2 Sm 0.250 0.250 0.250 1
Dy1 Dy 0.000 0.247 0.247 1
Ho1 Ho 0.000 0.000 0.000 1
```

2.
# Ta5Mo3

A relaxed structure of Ta5Mo3 (PBE-GGA, the Alexandria database).

Values from the calculation:
DOS at the Fermi energy (states/eV/atom): 0.882
Offset from the most stable computed form (meV per atom): 80.8
E (eV per atom): -11.5617
Magnetic moment (μB per atom): 0.000

```
data_Ta5Mo3
_chemical_formula_sum 'Ta5 Mo3'
_space_group_name_H-M_alt 'P -4 m 2'
_space_group_IT_number 115
_space_group_name_Hall 'P -4 -2'
_cell_length_a 4.592
_cell_length_b 4.592
_cell_length_c 6.514
_cell_angle_alpha 90.00
_cell_angle_beta 90.00
_cell_angle_gamma 90.00
loop_
_atom_site_label
_atom_site_type_symbol
_atom_site_fract_x
_atom_site_fract_y
_atom_site_fract_z
_atom_site_occupancy
Ta1 Ta 0.000 0.000 0.000 1
Ta2 Ta 0.000 0.000 0.500 1
Ta3 Ta 0.000 0.500 0.245 1
Ta4 Ta 0.500 0.500 0.500 1
Mo1 Mo 0.000 0.500 0.752 1
Mo2 Mo 0.500 0.500 0.000 1
```

3.
# AcPm5In4

A relaxed structure of AcPm5In4 (PBE-GGA, the Alexandria database).

Values from the calculation:
DOS at the Fermi energy (states/eV/atom): 0.680
E (eV per atom): -4.2666
Magnetic moment (μB per atom): 0.000

```
data_AcPm5In4
_chemical_formula_sum 'Ac1 Pm5 In4'
_space_group_name_H-M_alt 'P 4/m m m'
_space_group_IT_number 123
_space_group_name_Hall '-P 4 2'
_cell_length_a 3.671
_cell_length_b 3.671
_cell_length_c 22.577
_cell_angle_alpha 90.00
_cell_angle_beta 90.00
_cell_angle_gamma 90.00
loop_
_atom_site_label
_atom_site_type_symbol
_atom_site_fract_x
_atom_site_fract_y
_atom_site_fract_z
_atom_site_occupancy
Ac1 Ac 0.000 0.000 0.000 1
Pm1 Pm 0.500 0.500 0.124 1
Pm2 Pm 0.500 0.500 0.311 1
Pm3 Pm 0.500 0.500 0.500 1
In1 In 0.000 0.000 0.215 1
In2 In 0.000 0.000 0.405 1
```

4.
# SiRuCl2

A relaxed structure of SiRuCl2 (PBE-GGA, the Alexandria database).

Values from the calculation:
DOS at the Fermi energy (states/eV/atom): 0.392
Offset from the most stable computed form (meV per atom): 981.7
Energy relative to the elements, uncorrected (meV per atom): 682.6
E (eV per atom): -3.9154
Magnetic moment (μB per atom): 0.866

```
data_SiRuCl2
_chemical_formula_sum 'Si1 Ru1 Cl2'
_space_group_name_H-M_alt 'P 4/m m m'
_space_group_IT_number 123
_space_group_name_Hall '-P 4 2'
_cell_length_a 3.049
_cell_length_b 3.049
_cell_length_c 8.517
_cell_angle_alpha 90.00
_cell_angle_beta 90.00
_cell_angle_gamma 90.00
loop_
_atom_site_label
_atom_site_type_symbol
_atom_site_fract_x
_atom_site_fract_y
_atom_site_fract_z
_atom_site_occupancy
Si1 Si 0.000 0.000 0.000 1
Ru1 Ru 0.000 0.000 0.500 1
Cl1 Cl 0.500 0.500 0.303 1
```

5.
# Sr2La2H

A relaxed structure of Sr2La2H (PBE-GGA, the Alexandria database).

Values from the calculation:
DOS at the Fermi energy (states/eV/atom): 1.686
Offset from the most stable computed form (meV per atom): 0.0
E (eV per atom): -3.1659
Magnetic moment (μB per atom): 0.000

```
data_Sr2La2H
_chemical_formula_sum 'Sr4 La4 H2'
_space_group_name_H-M_alt 'P 4/m b m'
_space_group_IT_number 127
_space_group_name_Hall '-P 4 2ab'
_cell_length_a 7.191
_cell_length_b 7.191
_cell_length_c 7.026
_cell_angle_alpha 90.00
_cell_angle_beta 90.00
_cell_angle_gamma 90.00
loop_
_atom_site_label
_atom_site_type_symbol
_atom_site_fract_x
_atom_site_fract_y
_atom_site_fract_z
_atom_site_occupancy
Sr1 Sr 0.177 0.323 0.000 1
La1 La 0.174 0.674 0.500 1
H1 H 0.000 0.000 0.500 1
```

6.
# Th5GeTe4

A relaxed structure of Th5GeTe4 (PBE-GGA, the Alexandria database).

Values from the calculation:
DOS at the Fermi energy (states/eV/atom): 0.740
Energy relative to the elements, uncorrected (meV per atom): -1000.3
E (eV per atom): -6.4287
Magnetic moment (μB per atom): 0.000

```
data_Th5GeTe4
_chemical_formula_sum 'Th10 Ge2 Te8'
_space_group_name_H-M_alt 'C 1 2/m 1'
_space_group_IT_number 12
_space_group_name_Hall '-C 2y'
_cell_length_a 6.244
_cell_length_b 6.245
_cell_length_c 16.142
_cell_angle_alpha 90.00
_cell_angle_beta 100.34
_cell_angle_gamma 90.00
loop_
_atom_site_label
_atom_site_type_symbol
_atom_site_fract_x
_atom_site_fract_y
_atom_site_fract_z
_atom_site_occupancy
Th1 Th 0.000 0.000 0.000 1
Th2 Th 0.091 0.500 0.182 1
Th3 Th 0.206 0.000 0.416 1
Ge1 Ge 0.000 0.500 0.000 1
Te1 Te 0.102 0.000 0.206 1
Te2 Te 0.192 0.500 0.385 1
```

7.
# ZrSb2Se

A relaxed structure of ZrSb2Se (PBE-GGA, the Alexandria database).

Values from the calculation:
DOS at the Fermi energy (states/eV/atom): 0.352
Energy relative to the elements, uncorrected (meV per atom): -295.7
E (eV per atom): -5.3651
Magnetic moment (μB per atom): 0.000

```
data_ZrSb2Se
_chemical_formula_sum 'Zr1 Sb2 Se1'
_space_group_name_H-M_alt 'P 1 2/m 1'
_space_group_IT_number 10
_space_group_name_Hall '-P 2y'
_cell_length_a 4.029
_cell_length_b 3.787
_cell_length_c 6.304
_cell_angle_alpha 90.00
_cell_angle_beta 98.36
_cell_angle_gamma 90.00
loop_
_atom_site_label
_atom_site_type_symbol
_atom_site_fract_x
_atom_site_fract_y
_atom_site_fract_z
_atom_site_occupancy
Zr1 Zr 0.000 0.000 0.000 1
Sb1 Sb 0.443 0.500 0.764 1
Se1 Se 0.000 0.000 0.500 1
```

> What is the E in the second record?

-11.5617 eV per atom

> Which of these has the lowest E?

Ta5Mo3